(1)
# MgScAu2

MgScAu2 after structural relaxation (PBE, the Alexandria database).

- Energy of formation from the pure elements: -0.5822 eV/atom
- Symmetry: No. 99

Lattice parameters (Å, degrees): 3.680 3.680 5.856 90.00 90.00 90.00
Fractional positions:
Sc 0.500 0.500 0.791
Au 0.500 0.500 0.292
Au 0.000 0.000 0.967
Mg 0.000 0.000 0.451



(2)
# MgSc2Au

MgSc2Au after structural relaxation (PBE, the Alexandria database).

- Energy of formation from the pure elements: -0.2364 eV/atom
- Symmetry: No. 166

Lattice parameters (Å, degrees): 9.360 9.360 9.360 21.08 21.08 21.08
Fractional positions:
Sc 0.991 0.991 0.991
Sc 0.509 0.509 0.509
Mg 0.750 0.750 0.750
Au 0.250 0.250 0.250



(3)
# MgSc5Au3

MgSc5Au3 after structural relaxation (PBE, the Alexandria database).

- Energy of formation from the pure elements: -0.5530 eV/atom
- Symmetry: No. 193

Lattice parameters (Å, degrees): 6.120 8.401 8.399 120.00 90.00 90.00
Fractional positions:
Au 0.750 0.653 0.000
Au 0.750 0.347 0.347
Au 0.250 0.653 0.653
Au 0.750 0.000 0.653
Au 0.250 0.347 0.000
Au 0.250 0.000 0.347
Sc 0.500 0.667 0.333
Sc 0.000 0.667 0.333
Sc 0.500 0.333 0.667
Sc 0.000 0.333 0.667
Sc 0.250 0.675 0.000
Sc 0.250 0.325 0.325
Sc 0.750 0.000 0.325
Sc 0.250 0.000 0.675
Sc 0.750 0.675 0.675
Sc 0.750 0.325 0.000
Mg 0.000 0.000 0.000
Mg 0.500 0.000 0.000



(4)
# Mg2ScAu

Mg2ScAu after structural relaxation (PBE, the Alexandria database).

- Energy of formation from the pure elements: -0.3966 eV/atom
- Symmetry: No. 99

Lattice parameters (Å, degrees): 3.423 3.423 7.138 90.00 90.00 90.00
Fractional positions:
Mg 0.500 0.500 0.244
Mg 0.000 0.000 0.974
Au 0.500 0.500 0.749
Sc 0.000 0.000 0.533